[1]
Material: LiCS3
Method: DFT, PBE
State: optimized geometry

Lattice parameters (Å, degrees): 4.3159 4.3159 4.3159 90.00 90.00 90.00
Element x y z (fractional)
Li  0.0000  0.0000  0.0000
S  0.0000  0.0000  0.5000
S  0.5000  0.0000  0.0000
S  0.0000  0.5000  0.0000
C  0.5000  0.5000  0.5000

Output
As for the formation energy without anion corrections: 180 kJ per mole of atoms. Its space group is Pm-3m. The value obtained for the total energy is -2.8353 eV/atom.

***

[2]
Material: NdNp3Tl4Te8
Method: DFT, PBE
State: optimized geometry

Lattice parameters (Å, degrees): 9.0333 9.6871 9.0266 117.72 120.02 90.00
Element x y z (fractional)
Nd  0.0000  0.5000  0.0000
Tl  0.5000  0.0000  0.5000
Tl  0.5000  0.0000  0.0000
Tl  0.0000  0.0000  0.0000
Tl  0.0000  0.0000  0.5000
Te  0.7347  0.7169  0.9757
Te  0.7588  0.2831  0.5177
Te  0.2412  0.7169  0.4823
Te  0.7376  0.7124  0.4752
Te  0.2410  0.7169  0.9757
Te  0.7590  0.2831  0.0243
Te  0.2653  0.2831  0.0243
Te  0.2624  0.2876  0.5248
Np  0.0000  0.5000  0.5000
Np  0.5000  0.5000  0.0000
Np  0.5000  0.5000  0.5000

Output
As for the formation energy without anion corrections: -66 kJ per mole of atoms. Its space group is C2/m. The value obtained for the total energy is -5.5733 eV/atom.

***

[3]
Material: Ta2SbTe
Method: DFT, PBE
State: optimized geometry

Lattice parameters (Å, degrees): 6.4243 6.4243 7.6066 65.02 65.02 90.00
Element x y z (fractional)
Ta  0.6254  0.1250  0.2500
Ta  0.1246  0.6250  0.2500
Ta  0.8750  0.8754  0.7500
Ta  0.3750  0.3746  0.7500
Sb  0.2500  0.7500  0.5000
Sb  0.5000  0.5000  0.0000
Te  0.7500  0.2500  0.5000
Te  0.0000  0.0000  0.0000

Output
As for the formation energy without anion corrections: 102 kJ per mole of atoms. Its space group is I-42d. The value obtained for the total energy is -6.6850 eV/atom.